[1]
{
  "formula": "MgVNi2Se",
  "functional": "PBE",
  "state": "optimized geometry",
  "e_tot_ev_per_cell": -22.64,
  "dos_at_fermi_per_ev_cell": 6.77,
  "crystal_system": "tetragonal",
  "lattice_angstrom": [[-2.567, -3.283, -1.377], [3.271, -1.146, -3.366], [1.961, -2.721, 2.832]],
  "species": ["Ni", "Ni", "Mg", "Se", "V"],
  "fractional_positions": [[0.000, 0.000, 0.500], [0.500, 0.000, 0.000], [0.000, 0.500, 0.000], [0.000, 0.000, 0.000], [0.500, 0.500, 0.500]]
}

[2]
{
  "formula": "MgZnNiSe2",
  "functional": "PBE",
  "state": "optimized geometry",
  "e_tot_ev_per_cell": -14.16,
  "dos_at_fermi_per_ev_cell": 1.94,
  "crystal_system": "tetragonal",
  "lattice_angstrom": [[4.953, 0.000, 0.000], [0.000, 4.406, 0.000], [0.000, 0.000, 4.953]],
  "species": ["Ni", "Zn", "Mg", "Se", "Se"],
  "fractional_positions": [[0.000, 0.500, 0.000], [0.000, 0.000, 0.000], [0.500, 0.500, 0.500], [0.000, 0.000, 0.500], [0.500, 0.000, 0.000]]
}

[3]
{
  "formula": "MgSiNi2",
  "functional": "PBE",
  "state": "optimized geometry",
  "e_tot_ev_per_cell": -19.26,
  "dos_at_fermi_per_ev_cell": 1.66,
  "crystal_system": "monoclinic",
  "lattice_angstrom": [[-2.279, 0.560, 1.450], [0.099, -4.346, 1.835], [2.259, -1.533, 4.143]],
  "species": ["Mg", "Ni", "Ni", "Si"],
  "fractional_positions": [[0.000, 0.000, 0.500], [0.000, 0.000, 0.000], [0.500, 0.500, 0.000], [0.500, 0.500, 0.500]]
}

[4]
{
  "formula": "MgSiNi2",
  "functional": "PBE",
  "state": "optimized geometry",
  "e_tot_ev_per_cell": -19.97,
  "dos_at_fermi_per_ev_cell": 1.74,
  "crystal_system": "tetragonal",
  "lattice_angstrom": [[-0.607, -1.606, 2.532], [2.425, -2.918, -1.270], [3.082, 1.755, 1.853]],
  "species": ["Mg", "Ni", "Ni", "Si"],
  "fractional_positions": [[0.500, 0.000, 0.500], [0.000, 0.000, 0.000], [0.000, 0.500, 0.500], [0.500, 0.500, 0.000]]
}

[5]
{
  "formula": "Mg3Si4Ni2",
  "functional": "PBE",
  "state": "optimized geometry",
  "e_tot_ev_per_cell": -40.36,
  "dos_at_fermi_per_ev_cell": 3.15,
  "crystal_system": "monoclinic",
  "lattice_angstrom": [[-2.855, 0.000, -2.887], [3.310, -4.059, -0.418], [-5.067, -2.241, 5.011]],
  "species": ["Mg", "Mg", "Mg", "Si", "Si", "Si", "Si", "Ni", "Ni"],
  "fractional_positions": [[0.617, 0.235, 0.691], [0.000, 0.000, 0.000], [0.383, 0.765, 0.309], [0.725, 0.449, 0.076], [0.275, 0.551, 0.924], [0.907, 0.813, 0.584], [0.093, 0.187, 0.416], [0.684, 0.369, 0.361], [0.316, 0.631, 0.639]]
}

[6]
{
  "formula": "MgSiNi2",
  "functional": "PBE",
  "state": "optimized geometry",
  "e_tot_ev_per_cell": -19.30,
  "dos_at_fermi_per_ev_cell": 2.05,
  "crystal_system": "trigonal",
  "lattice_angstrom": [[7.980, -0.013, -0.008], [7.500, 2.728, -0.008], [7.500, 1.315, 2.390]],
  "species": ["Mg", "Ni", "Ni", "Si"],
  "fractional_positions": [[0.750, 0.750, 0.750], [0.990, 0.990, 0.990], [0.510, 0.510, 0.510], [0.250, 0.250, 0.250]]
}

[7]
{
  "formula": "Mg3SiNi",
  "functional": "PBE",
  "state": "optimized geometry",
  "e_above_lowest_polymorph_mev_per_atom": 224,
  "dos_at_fermi_per_ev_cell": 5.29,
  "crystal_system": "cubic",
  "lattice_angstrom": [[4.912, 0.000, 0.000], [0.000, 4.912, 0.000], [0.000, 0.000, 4.912]],
  "species": ["Ni", "Si", "Mg", "Mg", "Mg"],
  "fractional_positions": [[0.500, 0.500, 0.500], [0.000, 0.000, 0.000], [0.000, 0.500, 0.000], [0.000, 0.000, 0.500], [0.500, 0.000, 0.000]]
}

[8]
{
  "formula": "Mg2SiNi2",
  "functional": "PBE",
  "state": "optimized geometry",
  "e_tot_ev_per_cell": -43.47,
  "dos_at_fermi_per_ev_cell": 5.23,
  "crystal_system": "tetragonal",
  "lattice_angstrom": [[5.955, 0.000, 0.000], [0.000, 5.955, 0.000], [0.000, 0.000, 4.161]],
  "species": ["Ni", "Ni", "Ni", "Ni", "Si", "Si", "Mg", "Mg", "Mg", "Mg"],
  "fractional_positions": [[0.355, 0.855, 0.000], [0.855, 0.645, 0.000], [0.645, 0.145, 0.000], [0.145, 0.355, 0.000], [0.000, 0.000, 0.000], [0.500, 0.500, 0.000], [0.168, 0.668, 0.500], [0.668, 0.832, 0.500], [0.832, 0.332, 0.500], [0.332, 0.168, 0.500]]
}

[9]
{
  "formula": "Mg4SiNi",
  "functional": "PBE",
  "state": "optimized geometry",
  "e_tot_ev_per_cell": -15.04,
  "dos_at_fermi_per_ev_cell": 1.50,
  "crystal_system": "cubic",
  "lattice_angstrom": [[2.950, -2.487, 3.879], [-2.213, -0.994, 4.904], [-1.191, -5.132, 1.474]],
  "species": ["Mg", "Mg", "Mg", "Mg", "Si", "Ni"],
  "fractional_positions": [[0.874, 0.375, 0.375], [0.375, 0.375, 0.874], [0.375, 0.874, 0.375], [0.375, 0.375, 0.375], [0.000, 0.000, 0.000], [0.750, 0.750, 0.750]]
}

[10]
{
  "formula": "MgSi3Ni10",
  "functional": "PBE",
  "state": "optimized geometry",
  "e_tot_ev_per_cell": -158.78,
  "dos_at_fermi_per_ev_cell": 23.06,
  "crystal_system": "cubic",
  "lattice_angstrom": [[-3.181, 1.521, -7.093], [2.271, -4.176, -6.337], [-4.976, -5.202, -3.307]],
  "species": ["Mg", "Mg", "Si", "Si", "Si", "Si", "Si", "Si", "Ni", "Ni", "Ni", "Ni", "Ni", "Ni", "Ni", "Ni", "Ni", "Ni", "Ni", "Ni", "Ni", "Ni", "Ni", "Ni", "Ni", "Ni", "Ni", "Ni"],
  "fractional_positions": [[0.250, 0.250, 0.250], [0.750, 0.750, 0.750], [0.731, 0.731, 0.269], [0.731, 0.269, 0.731], [0.269, 0.731, 0.731], [0.269, 0.269, 0.731], [0.731, 0.269, 0.269], [0.269, 0.731, 0.269], [0.000, 0.000, 0.348], [0.000, 0.348, 0.000], [0.348, 0.000, 0.000], [0.652, 0.348, 0.000], [0.381, 0.381, 0.381], [0.143, 0.619, 0.619], [0.381, 0.857, 0.381], [0.652, 0.000, 0.348], [0.381, 0.381, 0.857], [0.857, 0.381, 0.381], [0.619, 0.619, 0.143], [0.000, 0.000, 0.652], [0.348, 0.652, 0.000], [0.000, 0.652, 0.348], [0.000, 0.348, 0.652], [0.652, 0.000, 0.000], [0.619, 0.619, 0.619], [0.000, 0.652, 0.000], [0.619, 0.143, 0.619], [0.348, 0.000, 0.652]]
}

[11]
{
  "formula": "MgSi2Ni",
  "functional": "PBE",
  "state": "optimized geometry",
  "e_tot_ev_per_cell": -36.14,
  "dos_at_fermi_per_ev_cell": 4.80,
  "crystal_system": "tetragonal",
  "lattice_angstrom": [[-1.587, -2.915, 2.520], [0.497, -2.858, -2.992], [6.709, -4.479, 2.491]],
  "species": ["Ni", "Ni", "Si", "Si", "Si", "Si", "Mg", "Mg"],
  "fractional_positions": [[0.000, 0.000, 0.000], [0.750, 0.250, 0.500], [0.730, 0.125, 0.250], [0.020, 0.625, 0.250], [0.375, 0.270, 0.750], [0.875, 0.980, 0.750], [0.500, 0.500, 0.000], [0.250, 0.750, 0.500]]
}

[12]
{
  "formula": "MgSiNi2",
  "functional": "PBE",
  "state": "optimized geometry",
  "e_tot_ev_per_cell": -19.51,
  "dos_at_fermi_per_ev_cell": 1.40,
  "crystal_system": "monoclinic",
  "lattice_angstrom": [[4.158, -0.002, -0.008], [3.261, 2.579, -0.008], [0.857, 0.298, 4.824]],
  "species": ["Mg", "Ni", "Ni", "Si"],
  "fractional_positions": [[0.250, 0.250, 0.250], [0.014, 0.014, 0.963], [0.486, 0.486, 0.537], [0.750, 0.750, 0.750]]
}